Ac3ErNi2O9 GGA+U optimized geometry; SG = No. 164; E = -104.2 eV/cell; density = 9.23 g/cm3; total moment = 2.000 μB per formula unit; volume = 199.6 Å³/f.u.
1.0
-0.0107 -5.6917 -0.1734
4.6893 2.8840 -1.4554
2.2236 -0.2098 6.7488
O Ni Er Ac
9 2 1 3
Direct
0.6558 0.8279 0.3154
0.8279 0.6558 0.6846
0.3442 0.1721 0.6846
0.5000 0.5000 0.0000
0.8279 0.1721 0.6846
0.1721 0.3442 0.3154
0.1721 0.8279 0.3154
0.5000 0.0000 0.0000
0.0000 0.5000 0.0000
0.3333 0.6667 0.1629
0.6667 0.3333 0.8371
0.0000 0.0000 0.5000
0.6667 0.3333 0.3030
0.0000 0.0000 0.0000
0.3333 0.6667 0.6970